Material: NbCr4Pt
Method: DFT, PBE
State: relaxed

Summary:
Mass density (g/cm³): 10.288
ΔH_f (0 K) (kJ per mole of atoms): -8

Cell lengths 4.8377, 4.8377, 4.8377 Å; angles 60.00, 60.00, 60.00 degrees
Closest atoms and distances in Å follow each position.
Element x y z (fractional)
Cr1 0.6235 0.1296 0.6235  6 Cr 2.39-2.45
Cr2 0.6235 0.6235 0.1296  6 Cr 2.39-2.45
Cr3 0.6235 0.6235 0.6235  6 Cr 2.39-2.45
Cr4 0.1296 0.6235 0.6235  6 Cr 2.39-2.45
Nb1 0.2500 0.2500 0.2500  12 Cr 2.83, 4 Pt 2.96
Pt1 0.0000 0.0000 0.0000  12 Cr 2.84, 4 Nb 2.96



Material: CaPI3
Method: DFT, PBE
State: relaxed

Summary:
Raw formation energy (eV/atom): -0.1088
Mass density (g/cm³): 3.258
Energy above the lowest structure with this stoichiometry (eV/atom): 0.1499

Cell lengths 6.1294, 6.1294, 6.1294 Å; angles 90.00, 90.00, 90.00 degrees
Closest atoms and distances in Å follow each position.
Element x y z (fractional)
I1 0.5000 0.0000 0.0000  2 Ca 3.06
I2 0.0000 0.0000 0.5000  2 Ca 3.06
I3 0.0000 0.5000 0.0000  2 Ca 3.06
Ca1 0.0000 0.0000 0.0000  6 I 3.06
P1 0.5000 0.5000 0.5000  12 I 4.33



Material: YAl9Co2
Method: DFT, PBE
State: relaxed

Summary:
Mass density (g/cm³): 3.948
ΔH_f (0 K) (kJ per mole of atoms): -35

Cell lengths 6.7474, 8.2121, 8.2121 Å; angles 80.28, 65.74, 65.74 degrees
Closest atoms and distances in Å follow each position.
Element x y z (fractional)
Al1 0.0098 0.6819 0.9253  2 Co 2.52-2.53, 6 Al 2.58-2.78
Al2 0.7402 0.8181 0.5747  2 Co 2.52-2.53, 6 Al 2.58-2.78
Al3 0.6170 0.3181 0.0747  2 Co 2.52-2.53, 6 Al 2.58-2.78
Al4 0.4417 0.4253 0.8181  2 Co 2.52-2.53, 6 Al 2.58-2.78
Al5 0.4417 0.8181 0.4253  2 Co 2.52-2.53, 6 Al 2.58-2.78
Al6 0.0649 0.3181 0.9253  2 Co 2.52-2.53, 6 Al 2.58-2.78
Al7 0.6851 0.5747 0.1819  2 Co 2.52-2.53, 6 Al 2.58-2.78
Al8 0.6170 0.0747 0.3181  2 Co 2.52-2.53, 6 Al 2.58-2.78
Al9 0.0098 0.9253 0.6819  2 Co 2.52-2.53, 6 Al 2.58-2.78
Al10 0.0000 0.0000 0.0000  8 Al 2.75, 4 Co 2.78
Al11 0.3083 0.0747 0.6819  2 Co 2.52-2.53, 6 Al 2.58-2.78
Al12 0.0649 0.9253 0.3181  2 Co 2.52-2.53, 6 Al 2.58-2.78
Al13 0.7402 0.5747 0.8181  2 Co 2.52-2.53, 6 Al 2.58-2.78
Al14 0.1330 0.1819 0.4253  2 Co 2.52-2.53, 6 Al 2.58-2.78
Al15 0.1330 0.4253 0.1819  2 Co 2.52-2.53, 6 Al 2.58-2.78
Al16 0.6851 0.1819 0.5747  2 Co 2.52-2.53, 6 Al 2.58-2.78
Al17 0.3083 0.6819 0.0747  2 Co 2.52-2.53, 6 Al 2.58-2.78
Al18 0.7500 0.5000 0.5000  8 Al 2.75, 4 Co 2.78
Co1 0.8750 0.2500 0.2500  10 Al 2.52-2.78
Co2 0.3750 0.7500 0.7500  10 Al 2.52-2.78
Co3 0.8750 0.2500 0.7500  10 Al 2.52-2.78
Co4 0.8750 0.7500 0.2500  10 Al 2.52-2.78
Y1 0.5000 0.0000 0.0000  18 Al 3.23-3.49
Y2 0.2500 0.5000 0.5000  18 Al 3.23-3.49



Material: LiThRu4
Method: DFT, PBE
State: relaxed

Summary:
Mass density (g/cm³): 10.160
ΔH_f (0 K) (kJ per mole of atoms): 1

Cell lengths 5.2977, 5.2977, 5.2977 Å; angles 60.00, 60.00, 60.00 degrees
Closest atoms and distances in Å follow each position.
Element x y z (fractional)
Th1 0.2500 0.2500 0.2500  12 Ru 3.11, 4 Li 3.24
Ru1 0.6256 0.1232 0.6256  6 Ru 2.64-2.66
Ru2 0.6256 0.6256 0.1232  6 Ru 2.64-2.66
Ru3 0.6256 0.6256 0.6256  6 Ru 2.64-2.66
Ru4 0.1232 0.6256 0.6256  6 Ru 2.64-2.66
Li1 0.0000 0.0000 0.0000  12 Ru 3.10, 4 Th 3.24



Material: Na2CoReBi
Method: DFT, PBE
State: relaxed

Summary:
Mass density (g/cm³): 4.833
ΔH_f (0 K) (kJ per mole of atoms): 166

Cell lengths 5.7524, 5.1926, 5.7524 Å; angles 90.00, 90.00, 90.00 degrees
Closest atoms and distances in Å follow each position.
Element x y z (fractional)
Co1 0.5000 0.5000 0.5000  8 Na 3.87, 4 Re 4.07
Bi1 0.0000 0.0000 0.0000  2 Re 2.60, 4 Na 2.88
Na1 0.5000 0.0000 0.0000  2 Bi 2.88
Na2 0.0000 0.0000 0.5000  2 Bi 2.88
Re1 0.0000 0.5000 0.0000  2 Bi 2.60



Material: Tl4Hg2Pb5
Method: DFT, PBE
State: relaxed

Summary:
Mass density (g/cm³): 11.101
ΔH_f (0 K) (kJ per mole of atoms): 1

Cell lengths 3.3537, 8.7488, 11.5060 Å; angles 87.53, 90.00, 90.00 degrees
Closest atoms and distances in Å follow each position.
Element x y z (fractional)
Pb1 0.0000 0.4164 0.2864  1 Hg 3.26, 4 Pb 3.34-3.50, 6 Tl 3.60-3.63
Pb2 0.0000 0.2039 0.8222  1 Hg 3.22, 4 Pb 3.35-3.50, 2 Tl 3.58
Pb3 0.0000 0.5000 0.0000  6 Pb 3.34-3.37, 4 Tl 3.61
Pb4 0.0000 0.7961 0.1778  1 Hg 3.22, 4 Pb 3.35-3.50, 2 Tl 3.58
Pb5 0.0000 0.5836 0.7136  1 Hg 3.26, 4 Pb 3.34-3.50, 6 Tl 3.60-3.63
Hg1 0.0000 0.0550 0.3684  3 Hg 3.14-3.35, 2 Pb 3.22-3.26, 2 Tl 3.49
Hg2 0.0000 0.9450 0.6316  3 Hg 3.14-3.35, 2 Pb 3.22-3.26, 2 Tl 3.49
Tl1 0.5000 0.8466 0.9003  3 Tl 3.35-3.61, 2 Hg 3.59, 8 Pb 3.61-3.63
Tl2 0.5000 0.2955 0.5533  3 Tl 3.35-3.73, 4 Hg 3.49-3.58, 6 Pb 3.58-3.62
Tl3 0.5000 0.7045 0.4467  3 Tl 3.35-3.73, 4 Hg 3.49-3.58, 6 Pb 3.58-3.62
Tl4 0.5000 0.1534 0.0997  3 Tl 3.35-3.61, 2 Hg 3.59, 8 Pb 3.61-3.63



Material: TiBe3Rh
Method: DFT, PBE
State: relaxed

Summary:
Mass density (g/cm³): 4.184
Energy above the lowest structure with this stoichiometry (eV/atom): 1.4338
ΔH_f (0 K) (kJ per mole of atoms): 155

Cell lengths 4.1323, 4.1323, 4.1323 Å; angles 90.00, 90.00, 90.00 degrees
Closest atoms and distances in Å follow each position.
Element x y z (fractional)
Rh1 0.5000 0.5000 0.5000  12 Be 2.92
Be1 0.0000 0.5000 0.0000  2 Ti 2.07
Be2 0.0000 0.0000 0.5000  2 Ti 2.07
Be3 0.5000 0.0000 0.0000  2 Ti 2.07
Ti1 0.0000 0.0000 0.0000  6 Be 2.07



Material: LiSc2TeH
Method: DFT, PBE
State: relaxed

Summary:
Total energy (eV per atom): -4.72
Mass density (g/cm³): 4.526

Cell lengths 4.2716, 4.2716, 4.5338 Å; angles 90.00, 90.00, 90.00 degrees
Closest atoms and distances in Å follow each position.
Element x y z (fractional)
Sc1 0.5000 0.0000 0.0000  2 H 2.14
Sc2 0.0000 0.5000 0.0000  2 H 2.14
Te1 0.5000 0.5000 0.5000  4 Li 3.02, 8 Sc 3.11
H1 0.0000 0.0000 0.0000  4 Sc 2.14, 2 Li 2.27
Li1 0.0000 0.0000 0.5000  2 H 2.27



Material: Nd3Th2PaAs6
Method: DFT, PBE
State: relaxed

Summary:
Mass density (g/cm³): 8.132
ΔH_f (0 K) (kJ per mole of atoms): -136

Cell lengths 7.3367, 7.3367, 7.3301 Å; angles 99.60, 99.60, 120.01 degrees
Closest atoms and distances in Å follow each position.
Element x y z (fractional)
Th1 0.3339 0.6661 0.0000  6 As 2.99
Th2 0.6661 0.3339 0.0000  6 As 2.99
Nd1 0.1687 0.8313 0.5000  6 As 3.00-3.06
Nd2 0.5000 0.5000 0.5000  6 As 3.00-3.08
Nd3 0.8313 0.1687 0.5000  6 As 3.00-3.06
As1 0.4056 0.0806 0.2425  1 Pa 2.91, 2 Th 2.99, 3 Nd 3.00-3.06
As2 0.2434 0.2434 0.7572  1 Pa 2.91, 2 Th 2.99, 3 Nd 3.02-3.08
As3 0.9194 0.5944 0.7575  1 Pa 2.91, 2 Th 2.99, 3 Nd 3.00-3.06
As4 0.7566 0.7566 0.2428  1 Pa 2.91, 2 Th 2.99, 3 Nd 3.02-3.08
As5 0.0806 0.4056 0.2425  1 Pa 2.91, 2 Th 2.99, 3 Nd 3.00-3.06
As6 0.5944 0.9194 0.7575  1 Pa 2.91, 2 Th 2.99, 3 Nd 3.00-3.06
Pa1 0.0000 0.0000 0.0000  6 As 2.91



Material: AgBr3
Method: DFT, PBE
State: relaxed

Summary:
Raw formation energy (eV/atom): 0.1454
Mass density (g/cm³): 5.163

Cell lengths 5.2491, 5.2491, 5.2491 Å; angles 109.36, 109.36, 109.36 degrees
Closest atoms and distances in Å follow each position.
Element x y z (fractional)
Br1 0.5000 0.5000 0.0000  2 Ag 3.03, 4 Br 3.03
Br2 0.5000 0.0000 0.5000  4 Br 3.03, 2 Ag 3.03
Br3 0.0000 0.5000 0.5000  4 Br 3.03, 2 Ag 3.03
Ag1 0.0000 0.0000 0.0000  6 Br 3.03



Material: KRb3Ni
Method: DFT, PBE
State: relaxed

Summary:
Mass density (g/cm³): 1.861
Energy above the lowest structure with this stoichiometry (eV/atom): 0.0000
ΔH_f (0 K) (kJ per mole of atoms): 42

Cell lengths 6.8119, 6.8119, 6.8119 Å; angles 90.00, 90.00, 90.00 degrees
Closest atoms and distances in Å follow each position.
Element x y z (fractional)
K1 0.5000 0.5000 0.5000  12 Rb 4.82
Rb1 0.0000 0.0000 0.5000  2 Ni 3.41
Rb2 0.0000 0.5000 0.0000  2 Ni 3.41
Rb3 0.5000 0.0000 0.0000  2 Ni 3.41
Ni1 0.0000 0.0000 0.0000  6 Rb 3.41



Material: Ca2SbRh2
Method: DFT, PBE
State: relaxed

Summary:
Raw formation energy (eV/atom): -0.7116
Mass density (g/cm³): 6.059
Energy above the lowest structure with this stoichiometry (eV/atom): 0.0000

Cell lengths 5.7783, 5.7783, 7.9809 Å; angles 78.72, 78.72, 59.40 degrees
Closest atoms and distances in Å follow each position.
Element x y z (fractional)
Ca1 0.4937 0.2100 0.1488  6 Rh 3.07-3.16, 1 Sb 3.35
Ca2 0.7900 0.5063 0.3512  6 Rh 3.07-3.16, 1 Sb 3.35
Ca3 0.2100 0.4937 0.6488  6 Rh 3.07-3.16, 1 Sb 3.35
Ca4 0.5063 0.7900 0.8512  6 Rh 3.07-3.16, 1 Sb 3.35
Rh1 0.2722 0.9955 0.4988  2 Sb 2.64, 1 Rh 2.66
Rh2 0.0045 0.7278 0.0012  2 Sb 2.64, 1 Rh 2.66
Rh3 0.7278 0.0045 0.5012  2 Sb 2.64, 1 Rh 2.66
Rh4 0.9955 0.2722 0.9988  2 Sb 2.64, 1 Rh 2.66
Sb1 0.8704 0.1296 0.7500  4 Rh 2.64
Sb2 0.1296 0.8704 0.2500  4 Rh 2.64